No. 1
The following is a PBE-GGA calculation of Ba8P3I4F after structural relaxation, from Alexandria via LeMat-Bulk.

As for the total energy: -4.02 eV/atom. Its crystal system is trigonal. The uncorrected formation energy comes out at -1543 meV/atom.

The space group is R-3m (No. 166, hexagonal axes) and the conventional cell measures 9.3289, 9.3289 and 24.8503 Å, with angles of 90.00, 90.00 and 120.00 degrees. The asymmetric unit holds Ba at (0.0000, 0.0000, 0.2356), Ba at (0.0038, 0.5019, 0.7661), P at (0.0000, 0.5000, 0.5000), I at (0.0000, 0.0000, 0.0000), I at (0.0000, 0.5000, 0.0000) and F at (0.0000, 0.0000, 0.5000).

***

No. 2
The following is a PBE-GGA calculation of Ba4PI2F after structural relaxation, from Alexandria via LeMat-Bulk.

As for the total energy: -3.90 eV/atom. Its crystal system is monoclinic. The uncorrected formation energy comes out at -1643 meV/atom.

The space group is P2/m (No. 10) and the conventional cell measures 7.7563, 4.6099 and 8.7301 Å, with angles of 90.00, 107.57 and 90.00 degrees. The asymmetric unit holds Ba at (0.2372, 0.0000, 0.2040), Ba at (0.2583, 0.5000, 0.7999), P at (0.5000, 0.0000, 0.0000), I at (0.0000, 0.0000, 0.5000), I at (0.5000, 0.5000, 0.5000) and F at (0.0000, 0.5000, 0.0000).

***

No. 3
The following is a PBE-GGA calculation of BaPtIF2 after structural relaxation, from Alexandria via LeMat-Bulk.

As for the total energy: -3.35 eV/atom. Its crystal system is tetragonal. The uncorrected formation energy comes out at -696 meV/atom.

The space group is P4/mmm (No. 123) and the conventional cell measures 4.5636, 4.5636 and 7.3721 Å, with angles of 90.00, 90.00 and 90.00 degrees. The asymmetric unit holds Ba at (0.0000, 0.0000, 0.0000), Pt at (0.5000, 0.5000, 0.0000), I at (0.0000, 0.0000, 0.5000) and F at (0.0000, 0.5000, 0.5000).

***

No. 4
The following is a PBE-GGA calculation of Ba6Pt2I3F after structural relaxation, from Alexandria via LeMat-Bulk.

As for the total energy: -3.93 eV/atom. Its crystal system is monoclinic. The uncorrected formation energy comes out at -1421 meV/atom.

The space group is C2/m (No. 12) and the conventional cell measures 7.9065, 13.6644 and 9.0780 Å, with angles of 90.00, 106.94 and 90.00 degrees. The asymmetric unit holds Ba at (0.2308, 0.1655, 0.1968), Ba at (0.2334, 0.5000, 0.1989), Pt at (0.0000, 0.3334, 0.0000), I at (0.0000, 0.1680, 0.5000), I at (0.0000, 0.5000, 0.5000) and F at (0.0000, 0.0000, 0.0000).

***

No. 5
The following is a PBE-GGA calculation of Ba8Pt3I4F after structural relaxation, from Alexandria via LeMat-Bulk.

As for the total energy: -3.95 eV/atom. Its crystal system is monoclinic. The uncorrected formation energy comes out at -1350 meV/atom.

The space group is C2/m (No. 12) and the conventional cell measures 15.8949, 9.1659 and 10.1788 Å, with angles of 90.00, 121.28 and 90.00 degrees. The asymmetric unit holds Ba at (0.0176, 0.2489, 0.3037), Ba at (0.2334, 0.0000, 0.6980), Ba at (0.2336, 0.5000, 0.7011), Pt at (0.0000, 0.5000, 0.5000), Pt at (0.2500, 0.2500, 0.5000), I at (0.0000, 0.0000, 0.0000), I at (0.0000, 0.5000, 0.0000), I at (0.2500, 0.2500, 0.0000) and F at (0.0000, 0.0000, 0.5000).

***

No. 6
The following is a PBE-GGA calculation of BaPtI2F after structural relaxation, from Alexandria via LeMat-Bulk.

As for the total energy: -3.71 eV/atom. Its crystal system is tetragonal. The uncorrected formation energy comes out at -1121 meV/atom.

The space group is P4/mmm (No. 123) and the conventional cell measures 5.5524, 5.5524 and 4.7429 Å, with angles of 90.00, 90.00 and 90.00 degrees. The asymmetric unit holds Ba at (0.0000, 0.0000, 0.0000), Pt at (0.5000, 0.5000, 0.5000), I at (0.0000, 0.5000, 0.5000) and F at (0.5000, 0.5000, 0.0000).

***

No. 7
The following is a PBE-GGA calculation of RbBaIF2 after structural relaxation, from Alexandria via LeMat-Bulk.

As for the total energy: -4.34 eV/atom. Its crystal system is tetragonal. The uncorrected formation energy comes out at -2706 meV/atom.

The space group is P4/mmm (No. 123) and the conventional cell measures 5.1143, 5.1143 and 7.1718 Å, with angles of 90.00, 90.00 and 90.00 degrees. The asymmetric unit holds Rb at (0.0000, 0.0000, 0.0000), Ba at (0.5000, 0.5000, 0.5000), I at (0.5000, 0.5000, 0.0000) and F at (0.0000, 0.5000, 0.5000).

***

No. 8
The following is a PBE-GGA calculation of Rb2BaIF6 after structural relaxation, from Alexandria via LeMat-Bulk.

As for the total energy: -4.00 eV/atom. Its crystal system is tetragonal. The uncorrected formation energy comes out at -2341 meV/atom.

The space group is I4/mmm (No. 139) and the conventional cell measures 6.7790, 6.7790 and 11.8073 Å, with angles of 90.00, 90.00 and 90.00 degrees. The asymmetric unit holds Rb at (0.0000, 0.5000, 0.2500), Ba at (0.0000, 0.0000, 0.0000), I at (0.0000, 0.0000, 0.5000), F at (0.0000, 0.0000, 0.2142) and F at (0.2350, 0.2350, 0.5000).

***

No. 9
The following is a PBE-GGA calculation of RbBaIF2 after structural relaxation, from Alexandria via LeMat-Bulk.

As for the total energy: -3.73 eV/atom. Its crystal system is tetragonal. The uncorrected formation energy comes out at -2096 meV/atom.

The space group is P4/mmm (No. 123) and the conventional cell measures 5.1824, 5.1824 and 6.3824 Å, with angles of 90.00, 90.00 and 90.00 degrees. The asymmetric unit holds Rb at (0.0000, 0.0000, 0.0000), Ba at (0.5000, 0.5000, 0.5000), I at (0.0000, 0.0000, 0.5000) and F at (0.0000, 0.5000, 0.0000).

***

No. 10
The following is a PBE-GGA calculation of Ba8Rh3I4F after structural relaxation, from Alexandria via LeMat-Bulk.

As for the total energy: -3.96 eV/atom. Its crystal system is trigonal. The uncorrected formation energy comes out at -1117 meV/atom.

The space group is R-3m (No. 166, hexagonal axes) and the conventional cell measures 9.1168, 9.1168 and 25.7513 Å, with angles of 90.00, 90.00 and 120.00 degrees. The asymmetric unit holds Ba at (0.0000, 0.0000, 0.2352), Ba at (0.0045, 0.5022, 0.7692), Rh at (0.0000, 0.5000, 0.5000), I at (0.0000, 0.0000, 0.0000), I at (0.0000, 0.5000, 0.0000) and F at (0.0000, 0.0000, 0.5000).

***

No. 11
The following is a PBE-GGA calculation of BaRhI2F after structural relaxation, from Alexandria via LeMat-Bulk.

As for the total energy: -4.02 eV/atom. Its crystal system is tetragonal. The uncorrected formation energy comes out at -1169 meV/atom.

The space group is P4/mmm (No. 123) and the conventional cell measures 5.5197, 5.5197 and 4.5795 Å, with angles of 90.00, 90.00 and 90.00 degrees. The asymmetric unit holds Ba at (0.0000, 0.0000, 0.0000), Rh at (0.5000, 0.5000, 0.5000), I at (0.0000, 0.5000, 0.5000) and F at (0.5000, 0.5000, 0.0000).

***

No. 12
The following is a PBE-GGA calculation of BaSbI2F after structural relaxation, from Alexandria via LeMat-Bulk.

As for the total energy: -3.32 eV/atom. Its crystal system is tetragonal. The uncorrected formation energy comes out at -1116 meV/atom.

The space group is P4/mmm (No. 123) and the conventional cell measures 6.0614, 6.0614 and 4.4345 Å, with angles of 90.00, 90.00 and 90.00 degrees. The asymmetric unit holds Ba at (0.0000, 0.0000, 0.0000), Sb at (0.5000, 0.5000, 0.0000), I at (0.0000, 0.5000, 0.5000) and F at (0.5000, 0.5000, 0.5000).

***

No. 13
The following is a PBE-GGA calculation of BaSb2IF after structural relaxation, from Alexandria via LeMat-Bulk.

As for the total energy: -3.61 eV/atom. Its crystal system is tetragonal. The uncorrected formation energy comes out at -890 meV/atom.

The space group is P4/mmm (No. 123) and the conventional cell measures 4.8603, 4.8603 and 6.5875 Å, with angles of 90.00, 90.00 and 90.00 degrees. The asymmetric unit holds Ba at (0.0000, 0.0000, 0.0000), Sb at (0.0000, 0.5000, 0.5000), I at (0.5000, 0.5000, 0.0000) and F at (0.5000, 0.5000, 0.5000).

***

No. 14
The following is a PBE-GGA calculation of Ba2ScIF after structural relaxation, from Alexandria via LeMat-Bulk.

As for the total energy: -3.15 eV/atom. Its crystal system is tetragonal. The uncorrected formation energy comes out at -427 meV/atom.

The space group is P4/mmm (No. 123) and the conventional cell measures 6.7962, 6.7962 and 5.2556 Å, with angles of 90.00, 90.00 and 90.00 degrees. The asymmetric unit holds Ba at (0.0000, 0.5000, 0.0000), Sc at (0.0000, 0.0000, 0.5000), I at (0.0000, 0.0000, 0.0000) and F at (0.5000, 0.5000, 0.5000).

***

No. 15
The following is a PBE-GGA calculation of BaTe2IF after structural relaxation, from Alexandria via LeMat-Bulk.

As for the total energy: -3.38 eV/atom. Its crystal system is tetragonal. The uncorrected formation energy comes out at -1053 meV/atom.

The space group is P4/mmm (No. 123) and the conventional cell measures 4.8966, 4.8966 and 6.6243 Å, with angles of 90.00, 90.00 and 90.00 degrees. The asymmetric unit holds Ba at (0.0000, 0.0000, 0.0000), Te at (0.0000, 0.5000, 0.5000), I at (0.5000, 0.5000, 0.0000) and F at (0.5000, 0.5000, 0.5000).

***

No. 16
The following is a PBE-GGA calculation of BaTeI2F after structural relaxation, from Alexandria via LeMat-Bulk.

As for the total energy: -3.12 eV/atom. Its crystal system is tetragonal. The uncorrected formation energy comes out at -1109 meV/atom.

The space group is P4/mmm (No. 123) and the conventional cell measures 6.1125, 6.1125 and 4.4354 Å, with angles of 90.00, 90.00 and 90.00 degrees. The asymmetric unit holds Ba at (0.0000, 0.0000, 0.0000), Te at (0.5000, 0.5000, 0.0000), I at (0.0000, 0.5000, 0.5000) and F at (0.5000, 0.5000, 0.5000).

***

No. 17
The following is a PBE-GGA calculation of BaTeIF2 after structural relaxation, from Alexandria via LeMat-Bulk.

As for the total energy: -3.91 eV/atom. Its crystal system is tetragonal. The uncorrected formation energy comes out at -1838 meV/atom.

The space group is P4/mmm (No. 123) and the conventional cell measures 4.8241, 4.8241 and 8.2006 Å, with angles of 90.00, 90.00 and 90.00 degrees. The asymmetric unit holds Ba at (0.0000, 0.0000, 0.0000), Te at (0.5000, 0.5000, 0.5000), I at (0.0000, 0.0000, 0.5000) and F at (0.0000, 0.5000, 0.0000).

***

No. 18
The following is a PBE-GGA calculation of BaTe2IF after structural relaxation, from Alexandria via LeMat-Bulk.

As for the total energy: -2.50 eV/atom. Its crystal system is tetragonal. The uncorrected formation energy comes out at -174 meV/atom.

The space group is P4/mmm (No. 123) and the conventional cell measures 7.0530, 7.0530 and 6.5891 Å, with angles of 90.00, 90.00 and 90.00 degrees. The asymmetric unit holds Ba at (0.0000, 0.0000, 0.0000), Te at (0.0000, 0.5000, 0.0000), I at (0.0000, 0.0000, 0.5000) and F at (0.5000, 0.5000, 0.5000).

***

No. 19
The following is a PBE-GGA calculation of BaTeI2F after structural relaxation, from Alexandria via LeMat-Bulk.

As for the total energy: -2.45 eV/atom. Its crystal system is tetragonal. The uncorrected formation energy comes out at -440 meV/atom.

The space group is P4/mmm (No. 123) and the conventional cell measures 6.6810, 6.6810 and 7.2988 Å, with angles of 90.00, 90.00 and 90.00 degrees. The asymmetric unit holds Ba at (0.0000, 0.0000, 0.0000), Te at (0.0000, 0.0000, 0.5000), I at (0.0000, 0.5000, 0.0000) and F at (0.5000, 0.5000, 0.5000).

***

No. 20
The following is a PBE-GGA calculation of BaTlIF4 after structural relaxation, from Alexandria via LeMat-Bulk.

As for the total energy: -4.16 eV/atom. Its crystal system is monoclinic. The uncorrected formation energy comes out at -2254 meV/atom.

The space group is C2/m (No. 12) and the conventional cell measures 14.3790, 7.9331 and 7.0486 Å, with angles of 90.00, 102.96 and 90.00 degrees. The asymmetric unit holds Ba at (0.2456, 0.0000, 0.1285), Tl at (0.0959, 0.5000, 0.2267), I at (0.0027, 0.0000, 0.2521), F at (0.0641, 0.5000, 0.8846), F at (0.1424, 0.5000, 0.5385) and F at (0.2049, 0.3154, 0.1610).